This record from Alexandria via LeMat-Bulk describes a relaxed structure of BaCrF6. The functional is PBE+U.

Values from the calculation:
The calculation puts the uncorrected energy at -89.5 eV/cell. The value obtained for the total magnetization is 2.000 μB per formula unit.

Cell and atoms, written as POSCAR:
```
BaCrF6
1.0
6.5101 0.0000 0.0000
0.0000 7.5291 0.0000
-1.0841 0.0000 4.7984
Ba Cr F
2 2 12
Cartesian
0.0000 0.0000 0.0000
3.2551 3.7646 0.0000
-0.5421 3.7646 2.3992
2.7130 0.0000 2.3992
-0.2101 2.4791 3.6945
-0.2101 5.0500 3.6945
0.8744 0.0000 2.7651
1.2965 3.7646 2.0333
2.3810 1.2854 1.1038
2.3810 6.2437 1.1038
3.0449 1.2854 3.6945
3.0449 6.2437 3.6945
4.1295 3.7646 2.7651
4.5515 0.0000 2.0333
5.6361 2.4791 1.1038
5.6361 5.0500 1.1038
```